1.
First-principles (PBE) data for a geometry-optimized YZrCuAg structure, as listed in the Alexandria database.

Results
Formation energy, eV/atom: -0.07

a = 4.912 Å, b = 4.912 Å, c = 4.912 Å
α = 60.00°, β = 60.00°, γ = 60.00°
Each line ends with the local moment (μB).
Sites, in units of the cell vectors:
Y (0.750, 0.750, 0.750)  0.17
Cu (0.500, 0.500, 0.500)  0.05
Zr (0.250, 0.250, 0.250)  0.51
Ag (0.000, 0.000, 0.000)  0.04

2.
First-principles (PBE) data for a geometry-optimized ZnCuAg2 structure, as listed in the Alexandria database.

Results
Formation energy, eV/atom: 0.04

a = 3.634 Å, b = 2.954 Å, c = 6.553 Å
α = 63.01°, β = 90.00°, γ = 90.00°
Sites, in units of the cell vectors:
Ag (0.000, 0.998, 0.004)
Ag (0.000, 0.502, 0.496)
Cu (0.500, 0.250, 0.250)
Zn (0.500, 0.750, 0.750)

3.
First-principles (PBE) data for a geometry-optimized Zn12Cu7Ag structure, as listed in the Alexandria database.

Results
Formation energy, eV/atom: 0.06

a = 7.458 Å, b = 7.458 Å, c = 7.458 Å
α = 111.23°, β = 111.23°, γ = 111.23°
Sites, in units of the cell vectors:
Zn (0.943, 0.247, 0.691)
Zn (0.753, 0.309, 0.057)
Zn (0.476, 0.154, 0.490)
Zn (0.846, 0.510, 0.524)
Zn (0.309, 0.057, 0.753)
Zn (0.510, 0.524, 0.846)
Zn (0.490, 0.476, 0.154)
Zn (0.691, 0.943, 0.247)
Zn (0.154, 0.490, 0.476)
Zn (0.524, 0.846, 0.510)
Zn (0.247, 0.691, 0.943)
Zn (0.057, 0.753, 0.309)
Cu (0.860, 0.546, 0.878)
Cu (0.454, 0.122, 0.140)
Cu (0.122, 0.140, 0.454)
Cu (0.500, 0.500, 0.500)
Cu (0.878, 0.860, 0.546)
Cu (0.546, 0.878, 0.860)
Cu (0.140, 0.454, 0.122)
Ag (0.000, 0.000, 0.000)

4.
First-principles (PBE) data for a geometry-optimized Zn6Cu3Ag structure, as listed in the Alexandria database.

Results
Formation energy, eV/atom: 0.00

a = 4.887 Å, b = 8.755 Å, c = 8.755 Å
α = 129.83°, β = 90.00°, γ = 90.00°
Sites, in units of the cell vectors:
Zn (0.053, 0.745, 0.627)
Zn (0.553, 0.627, 0.745)
Zn (0.325, 0.452, 0.900)
Zn (0.825, 0.900, 0.452)
Zn (0.274, 0.999, 0.001)
Zn (0.793, 0.307, 0.693)
Zn (0.293, 0.693, 0.307)
Zn (0.774, 0.001, 0.999)
Zn (0.325, 0.100, 0.548)
Zn (0.825, 0.548, 0.100)
Zn (0.053, 0.373, 0.255)
Zn (0.553, 0.255, 0.373)
Cu (0.514, 0.941, 0.705)
Cu (0.014, 0.705, 0.941)
Cu (0.114, 0.426, 0.574)
Cu (0.614, 0.574, 0.426)
Cu (0.014, 0.059, 0.295)
Cu (0.514, 0.295, 0.059)
Ag (0.020, 0.154, 0.846)
Ag (0.520, 0.846, 0.154)

5.
First-principles (PBE) data for a geometry-optimized Zn8Cu5Ag structure, as listed in the Alexandria database.

Results
Formation energy, eV/atom: 0.06

a = 6.505 Å, b = 6.505 Å, c = 6.505 Å
α = 105.65°, β = 105.65°, γ = 117.43°
Sites, in units of the cell vectors:
Zn (0.980, 0.771, 0.091)
Zn (0.229, 0.320, 0.209)
Zn (0.667, 0.796, 0.423)
Zn (0.204, 0.626, 0.870)
Zn (0.756, 0.333, 0.130)
Zn (0.111, 0.020, 0.791)
Zn (0.680, 0.889, 0.909)
Zn (0.374, 0.244, 0.577)
Cu (0.759, 0.208, 0.731)
Cu (0.792, 0.523, 0.551)
Cu (0.477, 0.028, 0.269)
Cu (0.500, 0.500, 0.000)
Cu (0.972, 0.241, 0.449)
Ag (0.250, 0.750, 0.500)

6.
First-principles (PBE) data for a geometry-optimized ZnCu2Ag structure, as listed in the Alexandria database.

Results
Formation energy, eV/atom: 0.03

a = 4.702 Å, b = 4.702 Å, c = 4.653 Å
α = 77.61°, β = 77.61°, γ = 34.32°
Sites, in units of the cell vectors:
Zn (0.750, 0.750, 0.750)
Cu (0.007, 0.007, 0.987)
Cu (0.493, 0.493, 0.513)
Ag (0.250, 0.250, 0.250)

7.
First-principles (PBE) data for a geometry-optimized ZnCu2Ag structure, as listed in the Alexandria database.

Results
Formation energy, eV/atom: 0.24

a = 6.892 Å, b = 6.892 Å, c = 5.515 Å
α = 51.33°, β = 51.33°, γ = 90.00°
Sites, in units of the cell vectors:
Zn (0.500, 0.500, 0.000)
Zn (0.250, 0.750, 0.500)
Cu (0.608, 0.125, 0.250)
Cu (0.142, 0.625, 0.250)
Cu (0.375, 0.392, 0.750)
Cu (0.875, 0.858, 0.750)
Ag (0.000, 0.000, 0.000)
Ag (0.750, 0.250, 0.500)

8.
First-principles (PBE) data for a geometry-optimized ZnCuAg2 structure, as listed in the Alexandria database.

Results
Formation energy, eV/atom: 0.04

a = 4.804 Å, b = 4.804 Å, c = 2.848 Å
α = 90.00°, β = 90.00°, γ = 107.65°
Sites, in units of the cell vectors:
Zn (0.000, 0.500, 0.500)
Cu (0.500, 0.000, 0.500)
Ag (0.000, 0.000, 0.000)
Ag (0.500, 0.500, 0.000)

9.
First-principles (PBE) data for a geometry-optimized Zn8CuAg6 structure, as listed in the Alexandria database.

Results
Formation energy, eV/atom: 0.07

a = 7.489 Å, b = 7.489 Å, c = 6.898 Å
α = 57.13°, β = 57.13°, γ = 60.00°
Sites, in units of the cell vectors:
Zn (0.568, 0.176, 0.372)
Zn (0.824, 0.116, 0.628)
Zn (0.116, 0.432, 0.628)
Zn (0.737, 0.737, 0.789)
Zn (0.263, 0.263, 0.211)
Zn (0.884, 0.568, 0.372)
Zn (0.176, 0.884, 0.372)
Zn (0.432, 0.824, 0.628)
Cu (0.000, 0.000, 0.000)
Ag (0.373, 0.090, 0.860)
Ag (0.910, 0.322, 0.140)
Ag (0.322, 0.627, 0.140)
Ag (0.678, 0.373, 0.860)
Ag (0.090, 0.678, 0.860)
Ag (0.627, 0.910, 0.140)

10.
First-principles (PBE) data for a geometry-optimized Zn6Cu8Ag structure, as listed in the Alexandria database.

Results
Formation energy, eV/atom: 0.06

a = 7.093 Å, b = 7.093 Å, c = 6.349 Å
α = 56.04°, β = 56.04°, γ = 60.00°
Sites, in units of the cell vectors:
Zn (0.376, 0.136, 0.868)
Zn (0.864, 0.380, 0.132)
Zn (0.380, 0.624, 0.132)
Zn (0.620, 0.376, 0.868)
Zn (0.136, 0.620, 0.868)
Zn (0.624, 0.864, 0.132)
Cu (0.574, 0.169, 0.383)
Cu (0.831, 0.126, 0.617)
Cu (0.126, 0.426, 0.617)
Cu (0.766, 0.766, 0.703)
Cu (0.234, 0.234, 0.297)
Cu (0.874, 0.574, 0.383)
Cu (0.169, 0.874, 0.383)
Cu (0.426, 0.831, 0.617)
Ag (0.000, 0.000, 0.000)

11.
First-principles (PBE) data for a geometry-optimized ZnCuAg2 structure, as listed in the Alexandria database.

Results
Formation energy, eV/atom: 0.00

a = 2.919 Å, b = 2.919 Å, c = 7.334 Å
α = 90.00°, β = 90.00°, γ = 90.00°
Sites, in units of the cell vectors:
Zn (0.500, 0.500, 0.725)
Cu (0.000, 0.000, 0.520)
Ag (0.000, 0.000, 0.983)
Ag (0.500, 0.500, 0.273)

12.
First-principles (PBE) data for a geometry-optimized Zn5Cu2Ag2 structure, as listed in the Alexandria database.

Results
Relative energy among the computed polymorphs, meV per atom: 88
Formation energy, eV/atom: 0.08

a = 6.242 Å, b = 6.991 Å, c = 7.450 Å
α = 117.98°, β = 90.00°, γ = 90.00°
Sites, in units of the cell vectors:
Zn (0.000, 0.000, 0.000)
Zn (0.500, 0.500, 0.000)
Zn (0.835, 0.792, 0.250)
Zn (0.165, 0.458, 0.250)
Zn (0.335, 0.958, 0.250)
Zn (0.665, 0.292, 0.250)
Zn (0.165, 0.208, 0.750)
Zn (0.835, 0.542, 0.750)
Zn (0.665, 0.042, 0.750)
Zn (0.335, 0.708, 0.750)
Cu (0.631, 0.865, 0.000)
Cu (0.369, 0.135, 0.000)
Cu (0.131, 0.635, 0.000)
Cu (0.869, 0.365, 0.000)
Ag (0.000, 0.212, 0.424)
Ag (0.500, 0.712, 0.424)
Ag (0.000, 0.788, 0.576)
Ag (0.500, 0.288, 0.576)

13.
First-principles (PBE) data for a geometry-optimized ZnCuAg2 structure, as listed in the Alexandria database.

Results
Formation energy, eV/atom: 0.03

a = 4.099 Å, b = 4.067 Å, c = 3.754 Å
α = 90.00°, β = 90.00°, γ = 90.00°
Sites, in units of the cell vectors:
Ag (0.000, 0.000, 0.000)
Ag (0.500, 0.500, 0.000)
Cu (0.500, 0.000, 0.500)
Zn (0.000, 0.500, 0.500)

14.
First-principles (PBE) data for a geometry-optimized Zn6CuAg2 structure, as listed in the Alexandria database.

Results
Relative energy among the computed polymorphs, meV per atom: 0
Formation energy, eV/atom: -0.01

a = 4.777 Å, b = 8.562 Å, c = 8.562 Å
α = 76.54°, β = 63.80°, γ = 63.80°
Sites, in units of the cell vectors:
Zn (0.311, 0.804, 0.381)
Zn (0.189, 0.619, 0.196)
Zn (0.689, 0.196, 0.619)
Zn (0.811, 0.381, 0.804)
Zn (0.740, 0.971, 0.321)
Zn (0.760, 0.679, 0.029)
Zn (0.260, 0.029, 0.679)
Zn (0.240, 0.321, 0.971)
Zn (0.324, 0.731, 0.873)
Zn (0.176, 0.127, 0.269)
Zn (0.676, 0.269, 0.127)
Zn (0.824, 0.873, 0.731)
Cu (0.250, 0.968, 0.032)
Cu (0.750, 0.032, 0.968)
Ag (0.269, 0.534, 0.685)
Ag (0.231, 0.315, 0.466)
Ag (0.731, 0.466, 0.315)
Ag (0.769, 0.685, 0.534)

15.
First-principles (PBE) data for a geometry-optimized ZnCuAg2 structure, as listed in the Alexandria database.

Results
Formation energy, eV/atom: 0.03

a = 4.927 Å, b = 4.927 Å, c = 4.927 Å
α = 133.08°, β = 133.08°, γ = 68.53°
Sites, in units of the cell vectors:
Zn (0.750, 0.250, 0.500)
Cu (0.500, 0.500, 0.000)
Ag (0.000, 0.000, 0.000)
Ag (0.250, 0.750, 0.500)

16.
First-principles (PBE) data for a geometry-optimized Zn2CuAg structure, as listed in the Alexandria database.

Results
Formation energy, eV/atom: 0.05

a = 9.298 Å, b = 9.298 Å, c = 9.298 Å
α = 17.17°, β = 17.17°, γ = 17.17°
Sites, in units of the cell vectors:
Ag (0.496, 0.496, 0.496)
Cu (0.748, 0.748, 0.748)
Zn (0.007, 0.007, 0.007)
Zn (0.248, 0.248, 0.248)

17.
First-principles (PBE) data for a geometry-optimized Zn4CuAg2 structure, as listed in the Alexandria database.

Results
Relative energy among the computed polymorphs, meV per atom: 0
Formation energy, eV/atom: -0.02

a = 7.303 Å, b = 6.629 Å, c = 5.569 Å
α = 102.34°, β = 110.90°, γ = 111.75°
Sites, in units of the cell vectors:
Zn (0.808, 0.169, 0.649)
Zn (0.530, 0.770, 0.655)
Zn (0.337, 0.046, 0.370)
Zn (0.818, 0.184, 0.146)
Zn (0.076, 0.630, 0.867)
Zn (0.940, 0.891, 0.403)
Zn (0.230, 0.364, 0.143)
Zn (0.343, 0.051, 0.871)
Ag (0.674, 0.457, 0.398)
Ag (0.225, 0.356, 0.637)
Ag (0.692, 0.479, 0.914)
Ag (0.512, 0.785, 0.151)
Cu (0.116, 0.639, 0.389)
Cu (0.949, 0.928, 0.908)

18.
First-principles (PBE) data for a geometry-optimized Zn2CuAg structure, as listed in the Alexandria database.

Results
Formation energy, eV/atom: -0.01

a = 4.657 Å, b = 4.657 Å, c = 4.951 Å
α = 80.52°, β = 80.52°, γ = 34.15°
Sites, in units of the cell vectors:
Zn (0.007, 0.007, 0.984)
Zn (0.493, 0.493, 0.516)
Cu (0.750, 0.750, 0.750)
Ag (0.250, 0.250, 0.250)

19.
First-principles (PBE) data for a geometry-optimized Zn6CuAg structure, as listed in the Alexandria database.

Results
Relative energy among the computed polymorphs, meV per atom: 0
Formation energy, eV/atom: -0.02

a = 3.349 Å, b = 5.926 Å, c = 5.926 Å
α = 90.00°, β = 90.00°, γ = 90.00°
Sites, in units of the cell vectors:
Zn (0.500, 0.000, 0.500)
Zn (0.500, 0.500, 0.000)
Zn (0.000, 0.238, 0.238)
Zn (0.000, 0.762, 0.762)
Zn (0.000, 0.762, 0.238)
Zn (0.000, 0.238, 0.762)
Cu (0.500, 0.000, 0.000)
Ag (0.500, 0.500, 0.500)

20.
First-principles (PBE) data for a geometry-optimized Zn2CuAg structure, as listed in the Alexandria database.

Results
Formation energy, eV/atom: -0.02

a = 3.068 Å, b = 3.068 Å, c = 6.283 Å
α = 90.00°, β = 90.00°, γ = 90.00°
Sites, in units of the cell vectors:
Zn (0.000, 0.000, 0.983)
Zn (0.500, 0.500, 0.235)
Cu (0.500, 0.500, 0.775)
Ag (0.000, 0.000, 0.507)

| no. | volume (Å³/cell) |
| --- | --- |
| 1 | 83.8 |
| 2 | 62.7 |
| 3 | 296.7 |
| 4 | 287.7 |
| 5 | 208.8 |
| 6 | 56.5 |
| 7 | 122.7 |
| 8 | 62.6 |
| 9 | 261.1 |
| 10 | 211.4 |
| 11 | 62.5 |
| 12 | 287.1 |
| 13 | 62.6 |
| 14 | 281.6 |
| 15 | 62.7 |
| 16 | 61.1 |
| 17 | 214.5 |
| 18 | 59.4 |
| 19 | 117.6 |
| 20 | 59.1 |